Material: PmIn2I5
Method: DFT, GGA-PBE
State: optimized geometry

energy = -101.9 eV for the cell shown
energy relative to the elements, uncorrected = -0.937 eV per atom

abc: 9.188 9.746 14.248
angles: 90.00 90.00 90.00
Fractional coordinates of all 32 atoms:
Pm 0.417 0.250 0.505
Pm 0.917 0.750 0.995
Pm 0.083 0.250 0.005
Pm 0.583 0.750 0.495
I 0.433 0.250 0.005
I 0.169 0.546 0.077
I 0.162 0.250 0.789
I 0.331 0.546 0.577
I 0.831 0.454 0.923
I 0.831 0.046 0.923
I 0.169 0.954 0.077
I 0.838 0.750 0.211
I 0.338 0.250 0.289
I 0.121 0.750 0.815
I 0.933 0.750 0.495
I 0.379 0.750 0.315
I 0.662 0.750 0.711
I 0.621 0.250 0.685
I 0.879 0.250 0.185
I 0.669 0.454 0.423
I 0.331 0.954 0.577
I 0.067 0.250 0.505
I 0.567 0.750 0.995
I 0.669 0.046 0.423
In 0.555 0.995 0.177
In 0.945 0.995 0.677
In 0.445 0.005 0.823
In 0.445 0.495 0.823
In 0.555 0.505 0.177
In 0.055 0.495 0.323
In 0.055 0.005 0.323
In 0.945 0.505 0.677